(1)
This record from the Alexandria database describes a relaxed Ce5PuAu crystal. The functional is GGA-PBE.

Formation energy from the elements = -13.0 kJ/mol of atoms
Symmetry = C2/c, No. 15
V = 370.08 Å³/cell
D(E_F) = 2.07 states/eV/atom

Cell lengths 6.1818, 6.1818, 10.8338 Å; angles 96.23, 107.46, 106.50 degrees
Last column: nearest neighbours and their distance in Å.
Fractional positions:
Ce1 0.7270 0.0882 0.1059  1 Pu 2.45
Ce2 0.1426 0.8096 0.5518  1 Pu 2.45
Ce3 0.5177 0.3789 0.6059  1 Pu 2.45
Ce4 0.2279 0.9779 0.2500  2 Pu 2.69
Ce5 0.7578 0.5909 0.9482  1 Pu 2.45
Ce6 0.2422 0.4091 0.0518  1 Pu 2.45
Ce7 0.7721 0.0221 0.7500  2 Pu 2.69
Ce8 0.4823 0.6211 0.3941  1 Pu 2.45
Ce9 0.8574 0.1904 0.4482  1 Pu 2.45
Ce10 0.2730 0.9118 0.8941  1 Pu 2.45
Pu1 0.0000 0.0000 0.0000  6 Ce 2.45-2.69
Pu2 0.5000 0.0000 0.5000  6 Ce 2.45-2.69
Au1 0.8145 0.5645 0.2500  7 Ce 3.00-3.33
Au2 0.1855 0.4355 0.7500  7 Ce 3.00-3.33

(2)
This record from the Alexandria database describes a relaxed CePuAu2 crystal. The functional is GGA-PBE.

Formation energy from the elements = -36.4 kJ/mol of atoms
Symmetry = R-3m, No. 166
Energy relative to the lowest polymorph listed for this composition = 64 kJ/mol of formula units
V = 112.13 Å³/cell
D(E_F) = 4.51 states/eV/atom

Cell lengths 4.1978, 4.1978, 7.7369 Å; angles 74.26, 74.26, 60.00 degrees
Last column: nearest neighbours and their distance in Å.
Fractional positions:
Au1 0.2501 0.2501 0.2498  3 Ce 3.04, 3 Pu 3.04
Au2 0.7499 0.7499 0.7502  3 Ce 3.04, 3 Pu 3.04
Ce1 0.0000 0.0000 0.0000  6 Au 3.04
Pu1 0.5000 0.5000 0.5000  6 Au 3.04

> What is the formula in the second record?

CePuAu2

> Among the records above, which one has the highest formation energy from the elements?

Ce5PuAu

> Which formula does entry 1 have?

Ce5PuAu

> Look up the formation energy from the elements of the first one.

-13.0 kJ/mol of atoms